Below is an optimized crystal structure of Na2SbPt2, with properties calculated at the PBE level.

Unit cell a=5.6753 b=5.6753 c=8.0361 alpha=100.10 beta=100.10 gamma=62.10
With the nearest neighbours (Å) after each atom.
Atoms (fractional coordinates):
Na  0.0191  0.2764  0.1523  6 Pt 3.06-3.21, 2 Sb 3.35-3.39
Na  0.2764  0.0191  0.6523  6 Pt 3.06-3.21, 2 Sb 3.35-3.39
Na  0.7236  0.9809  0.3477  6 Pt 3.06-3.21, 2 Sb 3.35-3.39
Na  0.9809  0.7236  0.8477  6 Pt 3.06-3.21, 2 Sb 3.35-3.39
Sb  0.3769  0.6231  0.2500  4 Pt 2.62-2.63
Sb  0.6231  0.3769  0.7500  4 Pt 2.62-2.63
Pt  0.2309  0.5012  0.5026  1 Pt 2.62, 2 Sb 2.62-2.63
Pt  0.4988  0.7691  0.9974  1 Pt 2.62, 2 Sb 2.62-2.63
Pt  0.5012  0.2309  0.0026  1 Pt 2.62, 2 Sb 2.62-2.63
Pt  0.7691  0.4988  0.4974  1 Pt 2.62, 2 Sb 2.62-2.63

Values from the calculation:
Uncorrected formation energy (eV per atom): -0.4612
Size of the total moment (μB/f.u.): 0.00
ρ (Mg/m³): 8.27